{"formula": "La2PrCuS5", "functional": "PBE", "state": "optimized geometry", "e_form_raw_ev_per_atom": -1.816, "spacegroup": "Cmc2_1", "total_energy_ev_per_atom": -6.19, "cell": [[2.005, -8.435, 0.000], [2.005, 8.435, 0.000], [0.000, 0.000, 12.214]], "species": ["La", "La", "La", "La", "Pr", "Pr", "Cu", "Cu", "S", "S", "S", "S", "S", "S", "S", "S", "S", "S"], "frac_coords": [[0.114, 0.886, 0.500], [0.117, 0.883, 0.155], [0.883, 0.117, 0.655], [0.886, 0.114, 0.000], [0.177, 0.823, 0.835], [0.823, 0.177, 0.335], [0.452, 0.548, 0.228], [0.548, 0.452, 0.728], [0.012, 0.988, 0.815], [0.299, 0.701, 0.500], [0.318, 0.682, 0.167], [0.346, 0.654, 0.827], [0.492, 0.508, 0.557], [0.508, 0.492, 0.057], [0.654, 0.346, 0.327], [0.682, 0.318, 0.667], [0.701, 0.299, 0.000], [0.988, 0.012, 0.315]]}

{"formula": "LiZnCl2", "functional": "PBE", "state": "optimized geometry", "relative_energy_mev_per_atom": 646, "e_form_raw_ev_per_atom": -0.355, "spacegroup": "F-43m", "total_energy_ev_per_atom": -2.08, "cell": [[0.000, 3.484, 3.484], [3.484, 0.000, 3.484], [3.484, 3.484, 0.000]], "species": ["Li", "Zn", "Cl", "Cl"], "frac_coords": [[0.000, 0.000, 0.000], [0.250, 0.250, 0.250], [0.500, 0.500, 0.500], [0.750, 0.750, 0.750]]}

{"formula": "KCaHfPd2", "functional": "PBE", "state": "optimized geometry", "spacegroup": "P4/mmm", "total_energy_ev_per_atom": -4.23, "cell": [[5.008, 0.000, 0.000], [0.000, 5.008, 0.000], [0.000, 0.000, 5.706]], "species": ["K", "Ca", "Hf", "Pd", "Pd"], "frac_coords": [[0.000, 0.000, 0.000], [0.500, 0.500, 0.000], [0.000, 0.000, 0.500], [0.000, 0.500, 0.500], [0.500, 0.000, 0.500]]}

{"formula": "TmAgPdPt", "functional": "PBE", "state": "optimized geometry", "relative_energy_mev_per_atom": 87, "spacegroup": "F-43m", "total_energy_ev_per_atom": -5.36, "cell": [[0.000, 3.325, 3.325], [3.325, 0.000, 3.325], [3.325, 3.325, 0.000]], "species": ["Tm", "Ag", "Pd", "Pt"], "frac_coords": [[0.000, 0.000, 0.000], [0.500, 0.500, 0.500], [0.750, 0.750, 0.750], [0.250, 0.250, 0.250]]}

{"formula": "Fe2CoGe2", "functional": "PBE", "state": "optimized geometry", "relative_energy_mev_per_atom": 0, "spacegroup": "P4/mbm", "total_energy_ev_per_atom": -6.57, "cell": [[6.468, 0.000, 0.000], [0.000, 6.468, 0.000], [0.000, 0.000, 3.073]], "species": ["Fe", "Fe", "Fe", "Fe", "Co", "Co", "Ge", "Ge", "Ge", "Ge"], "frac_coords": [[0.147, 0.353, 0.000], [0.353, 0.853, 0.000], [0.647, 0.147, 0.000], [0.853, 0.647, 0.000], [0.000, 0.000, 0.500], [0.500, 0.500, 0.500], [0.151, 0.651, 0.500], [0.349, 0.151, 0.500], [0.651, 0.849, 0.500], [0.849, 0.349, 0.500]]}

{"formula": "Mg2Si3", "functional": "PBE", "state": "optimized geometry", "relative_energy_mev_per_atom": 26, "e_form_raw_ev_per_atom": 0.055, "spacegroup": "C2/m", "total_energy_ev_per_atom": -3.84, "cell": [[5.909, -1.944, 0.000], [5.909, 1.944, 0.000], [-3.583, 0.000, 8.404]], "species": ["Mg", "Mg", "Mg", "Mg", "Si", "Si", "Si", "Si", "Si", "Si"], "frac_coords": [[0.138, 0.138, 0.002], [0.182, 0.182, 0.351], [0.818, 0.818, 0.649], [0.862, 0.862, 0.998], [0.104, 0.104, 0.596], [0.373, 0.373, 0.235], [0.458, 0.458, 0.853], [0.542, 0.542, 0.147], [0.627, 0.627, 0.765], [0.896, 0.896, 0.404]]}